[1]
Below is a relaxed structure of Tb3Sb3H2, with properties calculated at the PBE level.

Cell and atoms, written as POSCAR:
```
Tb3Sb3H2
1.0
2.008 -5.760 0.000
2.008 5.760 0.000
0.000 0.000 15.173
Tb Sb H
6 6 4
direct
0.145 0.855 0.551
0.145 0.855 0.949
0.153 0.847 0.250
0.847 0.153 0.750
0.855 0.145 0.051
0.855 0.145 0.449
0.127 0.873 0.750
0.436 0.564 0.606
0.436 0.564 0.894
0.564 0.436 0.106
0.564 0.436 0.394
0.873 0.127 0.250
0.271 0.729 0.060
0.271 0.729 0.440
0.729 0.271 0.560
0.729 0.271 0.940
```

Properties
The total magnetization comes out at 0.000 μB per formula unit. Its space-group type is Cmcm (63). The energy is -78.072 eV per cell.

***

[2]
Below is a relaxed structure of Tb2SbH2, with properties calculated at the PBE level.

Cell and atoms, written as POSCAR:
```
Tb2SbH2
1.0
0.000 4.988 5.533
3.186 0.000 5.533
3.186 4.988 0.000
Tb Sb H
4 2 4
direct
0.060 0.690 0.060
0.310 0.940 0.310
0.690 0.060 0.690
0.940 0.310 0.940
0.375 0.375 0.375
0.625 0.625 0.625
0.006 0.006 0.244
0.244 0.244 0.006
0.756 0.756 0.994
0.994 0.994 0.756
```

Properties
The total magnetization comes out at 0.000 μB per formula unit. Its space-group type is Fddd (70). The energy is -47.857 eV per cell.

***

[3]
Below is a relaxed structure of Tb5Sb4H, with properties calculated at the PBE level.

Cell and atoms, written as POSCAR:
```
Tb5Sb4H
1.0
-4.831 4.831 3.083
4.831 -4.831 3.083
4.831 4.831 -3.083
Tb Sb H
5 4 1
direct
0.000 0.000 0.000
0.274 0.679 0.800
0.474 0.274 0.594
0.679 0.879 0.406
0.879 0.474 0.200
0.175 0.374 0.397
0.374 0.977 0.199
0.778 0.175 0.801
0.977 0.778 0.603
0.633 0.633 0.000
```

Properties
The total magnetization comes out at 0.000 μB per formula unit. Its space-group type is I4 (79). The energy is -51.776 eV per cell.